# 1
AcPmSb2: relaxed, GGA-PBE.

## Properties
Energy above the most stable polymorph in this dataset = 125 meV/atom
D(E_F) = 0.96 states/eV per cell
Total magnetic moment = 0.00 μB/cell
Energy = -5.34 eV/atom
Uncorrected formation energy = -1.063 eV/atom

Unit cell a=4.5915 b=4.5915 c=23.8241 alpha=90.00 beta=90.00 gamma=120.00
Space group R3m (No. 160, hexagonal axes)
Asymmetric unit:
1 Ac 0.0000 0.0000 0.0000 x3
2 Pm 0.0000 0.0000 0.8293 x3
3 Sb 0.0000 0.0000 0.4184 x3
4 Sb 0.0000 0.0000 0.5768 x3

# 2
AcPm2Sb: relaxed, GGA-PBE.

## Properties
Energy above the most stable polymorph in this dataset = 218 meV/atom
D(E_F) = 9.28 states/eV per cell
Total magnetic moment = 0.00 μB/cell
Energy = -4.72 eV/atom
Uncorrected formation energy = -0.289 eV/atom

Unit cell a=7.9614 b=7.9614 c=7.9614 alpha=90.00 beta=90.00 gamma=90.00
Space group Fm-3m (No. 225)
Asymmetric unit:
1 Ac 0.0000 0.0000 0.0000 x4
2 Pm 0.2500 0.2500 0.2500 x8
3 Sb 0.0000 0.0000 0.5000 x4

# 3
AcPm2Sb2: relaxed, GGA-PBE.

## Properties
D(E_F) = 15.87 states/eV per cell
Total magnetic moment = 0.00 μB/cell
Energy = -5.09 eV/atom
Uncorrected formation energy = -0.714 eV/atom

Unit cell a=10.6154 b=12.5838 c=6.4921 alpha=90.00 beta=124.03 gamma=90.00
Space group C2/c (No. 15)
Asymmetric unit:
1 Ac 0.0000 0.1111 0.2500 x4
2 Pm 0.1689 0.3999 0.9800 x8
3 Sb 0.0000 0.1745 0.7500 x4
4 Sb 0.0000 0.3796 0.2500 x4

# 4
AcPm2Sb: relaxed, GGA-PBE.

## Properties
Energy above the most stable polymorph in this dataset = 0 meV/atom
D(E_F) = 6.68 states/eV per cell
Total magnetic moment = 0.00 μB/cell
Energy = -4.94 eV/atom
Uncorrected formation energy = -0.507 eV/atom

Unit cell a=4.0912 b=4.0912 c=7.8564 alpha=90.00 beta=90.00 gamma=90.00
Space group P4/mmm (No. 123)
Asymmetric unit:
1 Ac 0.0000 0.0000 0.0000 x1
2 Pm 0.5000 0.5000 0.2953 x2
3 Sb 0.0000 0.0000 0.5000 x1

# 5
AcPm3Sb2: relaxed, GGA-PBE.

## Properties
D(E_F) = 29.30 states/eV per cell
Total magnetic moment = 0.00 μB/cell
Energy = -5.16 eV/atom
Uncorrected formation energy = -0.721 eV/atom

Unit cell a=19.0754 b=4.5723 c=10.0204 alpha=90.00 beta=114.94 gamma=90.00
Space group C2/m (No. 12)
Asymmetric unit:
1 Ac 0.1131 0.0000 0.1272 x4
2 Pm 0.0575 0.0000 0.6747 x4
3 Pm 0.1460 0.5000 0.4742 x4
4 Pm 0.1887 0.5000 0.8864 x4
5 Sb 0.0116 0.5000 0.8386 x4
6 Sb 0.2414 0.0000 0.7103 x4

# 6
AcPm3Sb3: relaxed, GGA-PBE.

## Properties
Energy above the most stable polymorph in this dataset = 201 meV/atom
D(E_F) = 10.31 states/eV per cell
Total magnetic moment = 0.00 μB/cell
Energy = -5.22 eV/atom
Uncorrected formation energy = -0.826 eV/atom

Unit cell a=9.4364 b=9.4364 c=5.8694 alpha=90.00 beta=90.00 gamma=120.00
Space group P6_3/m (No. 176)
Asymmetric unit:
1 Ac 0.3333 0.6667 0.2500 x2
2 Pm 0.0109 0.7588 0.2500 x6
3 Sb 0.0575 0.6367 0.7500 x6

# 7
AcPmSb2: relaxed, GGA-PBE.

## Properties
Energy above the most stable polymorph in this dataset = 0 meV/atom
D(E_F) = 1.64 states/eV per cell
Total magnetic moment = 0.00 μB/cell
Energy = -5.46 eV/atom
Uncorrected formation energy = -1.188 eV/atom

Unit cell a=4.6476 b=4.6476 c=22.7750 alpha=90.00 beta=90.00 gamma=120.00
Space group R-3m (No. 166, hexagonal axes)
Asymmetric unit:
1 Ac 0.0000 0.0000 0.0000 x3
2 Pm 0.0000 0.0000 0.5000 x3
3 Sb 0.0000 0.0000 0.2445 x6

# 8
AcPmSb: relaxed, GGA-PBE.

## Properties
Energy above the most stable polymorph in this dataset = 177 meV/atom
D(E_F) = 7.35 states/eV per cell
Total magnetic moment = 0.89 μB/cell
Energy = -4.96 eV/atom
Uncorrected formation energy = -0.631 eV/atom

Unit cell a=4.1946 b=4.1946 c=11.5610 alpha=90.00 beta=90.00 gamma=90.00
Space group I4mm (No. 107)
Asymmetric unit:
1 Ac 0.0000 0.0000 0.0000 x2
2 Pm 0.0000 0.0000 0.7053 x2
3 Sb 0.0000 0.0000 0.3231 x2